First-principles (SCAN) data for a PBEsol-optimized structure of BaLiTe, as listed in Alexandria.

DFT total energy (eV/atom): -27.6716
Raw formation energy (eV per formula unit): -3.8
DOS(E_F) (states/eV per atom): 0.109

Cell lengths 4.667, 4.667, 4.824 Å; angles 90.00, 90.00, 120.00 degrees
Positions (direct):
Ba  0.000  0.000  0.000
Li  0.333  0.667  0.500
Te  0.667  0.333  0.500